The following is a GGA-PBE calculation of an optimized crystal structure of Ac4Co2HgH, from Alexandria.

Values from the calculation:
* symmetry: Cmcm, No. 63
* raw total energy: -4.470 eV per atom
* theoretical density: 9.13 Mg/m³

abc: 4.2890 7.3622 14.7738
angles: 90.00 90.00 106.93
Sites, in units of the cell vectors:
Ac  0.2642  0.5284  0.1095
Ac  0.7358  0.4716  0.6095
Ac  0.7358  0.4716  0.8905
Ac  0.2642  0.5284  0.3905
Ac  0.0000  0.0000  0.5000
Ac  0.0000  0.0000  0.0000
Ac  0.4224  0.8449  0.7500
Ac  0.5776  0.1551  0.2500
Co  0.3731  0.7461  0.5637
Co  0.6269  0.2539  0.0637
Co  0.6269  0.2539  0.4363
Co  0.3731  0.7461  0.9363
Hg  0.1130  0.2259  0.7500
Hg  0.8870  0.7741  0.2500
H  0.8365  0.6729  0.7500
H  0.1635  0.3271  0.2500

---

The following is a GGA-PBE calculation of an optimized crystal structure of LiAcCoH6, from Alexandria.

Values from the calculation:
* symmetry: P-6m2, No. 187
* raw total energy: -4.077 eV per atom
* theoretical density: 5.97 Mg/m³

abc: 4.6330 4.6330 4.4705
angles: 90.00 90.00 60.00
Sites, in units of the cell vectors:
Li  0.6666  0.6667  0.5000
Ac  0.0000  0.0000  0.0000
Co  0.3333  0.3333  0.5000
H  0.0384  0.4805  0.2661
H  0.4804  0.0385  0.7338
H  0.4810  0.4805  0.7338
H  0.0384  0.4811  0.7338
H  0.4804  0.4811  0.2662
H  0.4810  0.0385  0.2661

---

The following is a GGA-PBE calculation of an optimized crystal structure of Li2AcCoH8, from Alexandria.

Values from the calculation:
* symmetry: P-3m1, No. 164
* raw total energy: -3.914 eV per atom
* theoretical density: 4.70 Mg/m³

abc: 4.4567 4.4567 6.3262
angles: 90.00 90.00 120.00
Sites, in units of the cell vectors:
Li  0.6667  0.3333  0.1010
Li  0.3333  0.6667  0.8990
Ac  0.0000  0.0000  0.5000
Co  0.0000  0.0000  0.0000
H  0.8387  0.6774  0.8583
H  0.3226  0.1613  0.8583
H  0.8387  0.1613  0.8583
H  0.1613  0.3226  0.1417
H  0.6774  0.8387  0.1417
H  0.1613  0.8387  0.1417
H  0.6667  0.3333  0.4270
H  0.3333  0.6667  0.5730

---

The following is a GGA-PBE calculation of an optimized crystal structure of AcMgCo2H8, from Alexandria.

Values from the calculation:
* symmetry: P-3, No. 147
* raw total energy: -4.018 eV per atom
* theoretical density: 5.95 Mg/m³

abc: 4.4598 4.4598 6.1073
angles: 90.00 90.00 120.00
Sites, in units of the cell vectors:
Ac  0.0000  0.0000  0.0000
Mg  0.0000  0.0000  0.5000
Co  0.6667  0.3333  0.4180
Co  0.3333  0.6667  0.5820
H  0.3333  0.6667  0.8593
H  0.3749  0.4324  0.3595
H  0.5676  0.9425  0.3595
H  0.6667  0.3333  0.1407
H  0.4324  0.0575  0.6405
H  0.6251  0.5676  0.6405
H  0.9425  0.3749  0.6405
H  0.0575  0.6251  0.3595

---

The following is a GGA-PBE calculation of an optimized crystal structure of AcMgCoH6, from Alexandria.

Values from the calculation:
* symmetry: P-6m2, No. 187
* raw total energy: -3.989 eV per atom
* theoretical density: 5.93 Mg/m³

abc: 4.6690 4.6690 4.6888
angles: 90.00 90.00 60.00
Sites, in units of the cell vectors:
Ac  0.0000  0.0000  0.0000
Mg  0.6666  0.6667  0.5000
Co  0.3333  0.3333  0.5000
H  0.0483  0.4758  0.2560
H  0.4758  0.0484  0.7440
H  0.4758  0.4758  0.7440
H  0.0483  0.4758  0.7440
H  0.4758  0.4758  0.2560
H  0.4758  0.0484  0.2560

---

The following is a GGA-PBE calculation of an optimized crystal structure of NaAcCoH6, from Alexandria.

Values from the calculation:
* symmetry: P3m1, No. 156
* raw total energy: -3.972 eV per atom
* theoretical density: 5.59 Mg/m³

abc: 4.9290 4.9293 4.4445
angles: 90.02 90.02 59.99
Sites, in units of the cell vectors:
Na  0.6666  0.6667  0.6531
Ac  0.9999  0.9999  0.1547
Co  0.3333  0.3333  0.4635
H  0.0296  0.4853  0.2517
H  0.1736  0.1743  0.6582
H  0.6526  0.1736  0.6578
H  0.1741  0.6526  0.6577
H  0.4851  0.4848  0.2514
H  0.4849  0.0296  0.2517

---

The following is a GGA-PBE calculation of an optimized crystal structure of AcCo2NiH8, from Alexandria.

Values from the calculation:
* symmetry: R-3, No. 148
* raw total energy: -4.479 eV per atom
* theoretical density: 6.93 Mg/m³

abc: 4.4899 4.4899 6.2142
angles: 68.82 68.82 60.00
Sites, in units of the cell vectors:
Ac  0.5000  0.5000  0.5000
Co  0.3039  0.3039  0.0882
Co  0.6961  0.6961  0.9118
Ni  0.0000  0.0000  0.0000
H  0.2072  0.2072  0.3784
H  0.6404  0.3249  0.1199
H  0.7928  0.7928  0.6216
H  0.9148  0.6404  0.1199
H  0.0852  0.3596  0.8801
H  0.3249  0.9148  0.1199
H  0.6751  0.0852  0.8801
H  0.3596  0.6751  0.8801

---

The following is a GGA-PBE calculation of an optimized crystal structure of AcCoNi2H8, from Alexandria.

Values from the calculation:
* symmetry: R-3, No. 148
* raw total energy: -4.353 eV per atom
* theoretical density: 6.93 Mg/m³

abc: 4.4974 4.4974 6.1990
angles: 68.73 68.73 60.00
Sites, in units of the cell vectors:
Ac  0.5000  0.5000  0.5000
Co  0.0000  0.0000  0.0000
Ni  0.2976  0.2976  0.1073
Ni  0.7024  0.7024  0.8927
H  0.2016  0.2016  0.3953
H  0.6571  0.2890  0.1322
H  0.7984  0.7984  0.6047
H  0.9217  0.6571  0.1322
H  0.0783  0.3429  0.8678
H  0.2890  0.9217  0.1322
H  0.7110  0.0783  0.8678
H  0.3429  0.7110  0.8678